Below is a relaxed structure of TiCuPdAu, with properties calculated at the GGA-PBE level.

Cell: 3.8468 3.8468 8.2477 Å, 90.00 90.00 90.00°
Last column: nearest neighbours and their distance in Å.
Positions (direct):
1 Ti 0.0000 0.0000 0.0000  4 Pd 2.72, 4 Cu 2.82, 4 Au 2.82
2 Ti 0.5000 0.5000 0.5000  4 Pd 2.72, 4 Cu 2.82, 4 Au 2.82
3 Cu 0.0000 0.5000 0.2500  4 Au 2.72, 4 Ti 2.82, 4 Pd 2.82
4 Cu 0.5000 0.0000 0.7500  4 Au 2.72, 4 Pd 2.82, 4 Ti 2.82
5 Pd 0.0000 0.0000 0.5000  4 Ti 2.72, 4 Cu 2.82, 4 Au 2.82
6 Pd 0.5000 0.5000 0.0000  4 Ti 2.72, 4 Cu 2.82, 4 Au 2.82
7 Au 0.0000 0.5000 0.7500  4 Cu 2.72, 4 Pd 2.82, 4 Ti 2.82
8 Au 0.5000 0.0000 0.2500  4 Cu 2.72, 4 Pd 2.82, 4 Ti 2.82

As for the density of states at the Fermi level: 6.19 states/eV per cell. The value obtained for the total energy is -0.4025 Ry/atom. The value obtained for the formation energy is -0.3603 eV per atom. The size of the total moment comes out at 1.1 Bohr magnetons per cell.



Below is a relaxed structure of TiCuPd2Au, with properties calculated at the GGA-PBE level.

Cell: 6.2533 3.8832 6.3085 Å, 90.00 90.95 90.00°
Last column: nearest neighbours and their distance in Å.
Positions (direct):
1 Ti 0.2292 0.2500 0.2525  6 Pd 2.68-2.74, 3 Au 2.80-2.99, 3 Cu 2.84-2.95
2 Ti 0.7708 0.7500 0.7475  6 Pd 2.68-2.74, 3 Au 2.80-2.99, 3 Cu 2.84-2.95
3 Cu 0.3473 0.7500 0.9484  3 Au 2.67-2.70, 4 Pd 2.76-2.79, 2 Cu 2.79, 3 Ti 2.84-2.95
4 Cu 0.6527 0.2500 0.0516  3 Au 2.67-2.70, 4 Pd 2.76-2.79, 2 Cu 2.79, 3 Ti 2.84-2.95
5 Pd 0.0460 0.2500 0.8562  3 Ti 2.68-2.73, 5 Pd 2.73-2.83, 3 Cu 2.76-2.77, 1 Au 2.84
6 Pd 0.1513 0.7500 0.5477  3 Ti 2.71-2.74, 5 Pd 2.77-2.83, 1 Cu 2.79, 3 Au 2.83-2.84
7 Pd 0.8487 0.2500 0.4523  3 Ti 2.71-2.74, 5 Pd 2.77-2.83, 1 Cu 2.79, 3 Au 2.83-2.84
8 Pd 0.9540 0.7500 0.1438  3 Ti 2.68-2.73, 5 Pd 2.73-2.83, 3 Cu 2.76-2.77, 1 Au 2.84
9 Au 0.4570 0.2500 0.6728  3 Cu 2.67-2.70, 2 Ti 2.80, 4 Pd 2.83-2.84, 2 Au 2.97
10 Au 0.5430 0.7500 0.3272  3 Cu 2.67-2.70, 2 Ti 2.80, 4 Pd 2.83-2.84, 2 Au 2.97

As for the density of states at the Fermi level: 6.90 states/eV per cell. The value obtained for the total energy is -0.4065 Ry/atom. The value obtained for the formation energy is -0.3992 eV per atom. The size of the total moment comes out at 0.0 Bohr magnetons per cell.



Below is a relaxed structure of Ti2CuPdAu2, with properties calculated at the GGA-PBE level.

Cell: 7.8420 7.8420 7.8420 Å, 139.39 58.36 139.95°
Last column: nearest neighbours and their distance in Å.
Positions (direct):
1 Ti 0.1571 0.1994 0.3566  5 Au 2.66-2.74, 2 Pd 2.76
2 Ti 0.3429 0.6994 0.0423  5 Au 2.66-2.74, 2 Pd 2.76
3 Ti 0.6571 0.3006 0.9577  5 Au 2.66-2.74, 2 Pd 2.76
4 Ti 0.8429 0.8006 0.6434  5 Au 2.66-2.74, 2 Pd 2.76
5 Cu 0.2500 0.7500 0.5000  4 Au 2.67, 2 Cu 2.69, 2 Pd 2.72
6 Cu 0.7500 0.2500 0.5000  4 Au 2.67, 2 Cu 2.69, 2 Pd 2.72
7 Pd 0.2500 0.2500 0.0000  2 Pd 2.69, 2 Cu 2.72, 4 Ti 2.76, 4 Au 2.94
8 Pd 0.7500 0.7500 0.0000  2 Pd 2.69, 2 Cu 2.72, 4 Ti 2.76, 4 Au 2.94
9 Au 0.1484 0.6989 0.8473  5 Ti 2.66-2.74, 2 Cu 2.67, 2 Pd 2.94
10 Au 0.3516 0.1989 0.5505  5 Ti 2.66-2.74, 2 Cu 2.67, 2 Pd 2.94
11 Au 0.6484 0.8011 0.4495  5 Ti 2.66-2.74, 2 Cu 2.67, 2 Pd 2.94
12 Au 0.8516 0.3011 0.1527  5 Ti 2.66-2.74, 2 Cu 2.67, 2 Pd 2.94

As for the density of states at the Fermi level: 8.02 states/eV per cell. The value obtained for the total energy is -0.4069 Ry/atom. The value obtained for the formation energy is -0.2639 eV per atom. The size of the total moment comes out at 0.0 Bohr magnetons per cell.



Below is a relaxed structure of TiCuPdAu, with properties calculated at the GGA-PBE level.

Cell: 6.2712 6.2712 6.2712 Å, 90.00 90.00 90.00°
Last column: nearest neighbours and their distance in Å.
Positions (direct):
1 Ti 0.0000 0.0000 0.0000  4 Pd 2.72, 4 Au 2.72
2 Ti 0.0000 0.5000 0.5000  4 Pd 2.72, 4 Au 2.72
3 Ti 0.5000 0.0000 0.5000  4 Pd 2.72, 4 Au 2.72
4 Ti 0.5000 0.5000 0.0000  4 Pd 2.72, 4 Au 2.72
5 Cu 0.0000 0.0000 0.5000  4 Au 2.72, 4 Pd 2.72
6 Cu 0.0000 0.5000 0.0000  4 Pd 2.72, 4 Au 2.72
7 Cu 0.5000 0.0000 0.0000  4 Pd 2.72, 4 Au 2.72
8 Cu 0.5000 0.5000 0.5000  4 Au 2.72, 4 Pd 2.72
9 Pd 0.2500 0.2500 0.2500  4 Cu 2.72, 4 Ti 2.72
10 Pd 0.2500 0.7500 0.7500  4 Cu 2.72, 4 Ti 2.72
11 Pd 0.7500 0.2500 0.7500  4 Cu 2.72, 4 Ti 2.72
12 Pd 0.7500 0.7500 0.2500  4 Cu 2.72, 4 Ti 2.72
13 Au 0.2500 0.2500 0.7500  4 Cu 2.72, 4 Ti 2.72
14 Au 0.2500 0.7500 0.2500  4 Cu 2.72, 4 Ti 2.72
15 Au 0.7500 0.2500 0.2500  4 Cu 2.72, 4 Ti 2.72
16 Au 0.7500 0.7500 0.7500  4 Cu 2.72, 4 Ti 2.72

As for the density of states at the Fermi level: 14.08 states/eV per cell. The value obtained for the total energy is -0.4004 Ry/atom. The value obtained for the formation energy is -0.3326 eV per atom. The size of the total moment comes out at 0.0 Bohr magnetons per cell.



no.,V (A^3/atom)
1,15.26
2,15.32
3,16.68
4,15.41